# PrBeNO

A geometry-optimized PrBeNO structure (PBE, OQMD).

Calculated values
- total magnetization (μB/cell) = 0.00
- calculated volume (Å³ per atom) = 11.507
- mass density (g cm⁻³) = 6.491
- total DFT energy (no corrections) (eV/atom) = -7.387

Structure (POSCAR):
```
PrBeNO
1.0
5.272 0.000 0.000
0.000 7.016 0.000
0.000 0.000 4.978
Pr Be N O
4 4 4 4
Direct
0.020 0.182 0.000
0.480 0.182 0.500
0.520 0.818 0.000
0.980 0.818 0.500
0.078 0.593 0.010
0.422 0.593 0.510
0.578 0.407 0.010
0.922 0.407 0.510
0.036 0.837 0.002
0.464 0.837 0.502
0.536 0.163 0.002
0.964 0.163 0.502
0.148 0.512 0.688
0.352 0.512 0.188
0.648 0.488 0.688
0.852 0.488 0.188
```